(1)
# PBE CuHgPbW, relaxed
# Crystal system: cubic
data_CuHgPbW
_cell_length_a 6.8854
_cell_length_b 6.8854
_cell_length_c 6.8854
_cell_angle_alpha 90.00
_cell_angle_beta 90.00
_cell_angle_gamma 90.00
_symmetry_space_group_name_H-M 'F -4 3 m'
_symmetry_Int_Tables_number 216
_symmetry_space_group_name_Hall 'F -4 2 3'
loop_
_atom_site_label
_atom_site_type_symbol
_atom_site_fract_x
_atom_site_fract_y
_atom_site_fract_z
Cu1 Cu 0.0000 0.0000 0.0000
Hg1 Hg 0.0000 0.0000 0.5000
Pb1 Pb 0.2500 0.2500 0.7500
W1 W 0.2500 0.2500 0.2500

(2)
# PBE AlTcAu, relaxed
# Crystal system: cubic
data_AlTcAu
_cell_length_a 5.9224
_cell_length_b 5.9224
_cell_length_c 5.9224
_cell_angle_alpha 90.00
_cell_angle_beta 90.00
_cell_angle_gamma 90.00
_symmetry_space_group_name_H-M 'F -4 3 m'
_symmetry_Int_Tables_number 216
_symmetry_space_group_name_Hall 'F -4 2 3'
loop_
_atom_site_label
_atom_site_type_symbol
_atom_site_fract_x
_atom_site_fract_y
_atom_site_fract_z
Al1 Al 0.0000 0.0000 0.0000
Tc1 Tc 0.2500 0.2500 0.2500
Au1 Au 0.2500 0.2500 0.7500

(3)
# PBE ZnNiGePt, relaxed
# Crystal system: cubic
data_ZnNiGePt
_cell_length_a 6.0755
_cell_length_b 6.0755
_cell_length_c 6.0755
_cell_angle_alpha 90.00
_cell_angle_beta 90.00
_cell_angle_gamma 90.00
_symmetry_space_group_name_H-M 'F -4 3 m'
_symmetry_Int_Tables_number 216
_symmetry_space_group_name_Hall 'F -4 2 3'
loop_
_atom_site_label
_atom_site_type_symbol
_atom_site_fract_x
_atom_site_fract_y
_atom_site_fract_z
Zn1 Zn 0.0000 0.0000 0.0000
Ni1 Ni 0.2500 0.2500 0.7500
Ge1 Ge 0.0000 0.0000 0.5000
Pt1 Pt 0.2500 0.2500 0.2500

(4)
# PBE Tb3Ga10Ni, relaxed
# Crystal system: orthorhombic
data_Tb3Ga10Ni
_cell_length_a 4.1415
_cell_length_b 4.2276
_cell_length_c 15.2259
_cell_angle_alpha 90.00
_cell_angle_beta 90.00
_cell_angle_gamma 90.00
_symmetry_space_group_name_H-M 'P m m m'
_symmetry_Int_Tables_number 47
loop_
_symmetry_equiv_pos_as_xyz
'x,y,z'
'-x,-y,-z'
'-x,-y,z'
'x,y,-z'
'x,-y,-z'
'-x,y,z'
'-x,y,-z'
'x,-y,z'
loop_
_atom_site_label
_atom_site_type_symbol
_atom_site_fract_x
_atom_site_fract_y
_atom_site_fract_z
Tb1 Tb 0.0000 0.0000 0.0000
Tb2 Tb 0.0000 0.5000 0.2496
Ga1 Ga 0.0000 0.0000 0.4145
Ga2 Ga 0.5000 0.0000 0.1555
Ga3 Ga 0.5000 0.0000 0.3126
Ga4 Ga 0.5000 0.5000 0.0797
Ga5 Ga 0.5000 0.5000 0.4128
Ni1 Ni 0.0000 0.5000 0.5000

no.,total energy (eV for the cell shown),total magnetization (μB per formula unit)
1,-64.57,2.96
2,-66.89,0.04
3,-74.46,0.01
4,-56.97,0.01